Record 1
! SbPd2O (GGA-PBE, optimized geometry); values from VASP
&SYSTEM
  ibrav = 0, nat = 8, ntyp = 3
/
ATOMIC_SPECIES
O 16.00 O.upf
Pd 106.42 Pd.upf
Sb 121.76 Sb.upf
CELL_PARAMETERS angstrom
-0.863 2.255 5.148
-5.163 -2.377 0.175
-1.132 -3.997 4.701
ATOMIC_POSITIONS crystal
O 0.500 0.500 0.000
O 0.250 0.750 0.500
Pd 0.375 0.444 0.750
Pd 0.556 0.125 0.250
Pd 0.194 0.625 0.250
Pd 0.875 0.806 0.750
Sb 0.750 0.250 0.500
Sb 0.000 0.000 0.000
! calculated total energy = -4.954 eV/atom
! ΔE_f (raw) = -8 kJ/mol of atoms
! relative energy among the computed polymorphs = 172 meV/atom
! total magnetization = 0.00 Bohr magnetons per cell

Record 2
! Nd6SiOs2Br3 (GGA-PBE, optimized geometry); values from VASP
&SYSTEM
  ibrav = 0, nat = 12, ntyp = 4
/
ATOMIC_SPECIES
Br 79.90 Br.upf
Nd 144.24 Nd.upf
Os 190.23 Os.upf
Si 28.09 Si.upf
CELL_PARAMETERS angstrom
7.284 -0.005 -0.004
-3.644 6.306 -0.004
-1.218 -2.109 7.696
ATOMIC_POSITIONS crystal
Br 0.164 0.836 0.500
Br 0.500 0.500 0.500
Br 0.836 0.164 0.500
Nd 0.934 0.585 0.801
Nd 0.585 0.934 0.801
Nd 0.066 0.415 0.199
Nd 0.717 0.717 0.200
Nd 0.415 0.066 0.199
Nd 0.283 0.283 0.800
Os 0.333 0.667 0.000
Os 0.667 0.333 0.000
Si 0.000 0.000 0.000
! calculated total energy = -5.916 eV/atom
! ΔE_f (raw) = -76 kJ/mol of atoms
! total magnetization = 0.00 Bohr magnetons per cell

Record 3
! NiP2 (GGA-PBE, optimized geometry); values from VASP
&SYSTEM
  ibrav = 0, nat = 6, ntyp = 2
/
ATOMIC_SPECIES
P 30.97 P.upf
Ni 58.69 Ni.upf
CELL_PARAMETERS angstrom
3.797 -2.487 1.136
-0.278 4.098 2.240
-3.750 -2.523 1.207
ATOMIC_POSITIONS crystal
P 0.853 0.647 0.500
P 0.647 0.147 0.793
P 0.353 0.853 0.207
P 0.147 0.353 0.500
Ni 0.250 0.250 0.000
Ni 0.750 0.750 0.000
! calculated total energy = -5.428 eV/atom
! DFT formation energy = 0.317 eV per formula unit
! total magnetization = 0.00 Bohr magnetons per cell

Record 4
! KTe2Au (GGA-PBE, optimized geometry); values from VASP
&SYSTEM
  ibrav = 0, nat = 4, ntyp = 3
/
ATOMIC_SPECIES
Te 127.60 Te.upf
K 39.10 K.upf
Au 196.97 Au.upf
CELL_PARAMETERS angstrom
6.437 0.017 -0.003
2.508 5.928 0.003
-3.875 -3.871 3.381
ATOMIC_POSITIONS crystal
Te 0.740 0.240 0.500
Te 0.946 0.946 0.000
K 0.250 0.750 0.500
Au 0.565 0.565 0.000
! calculated total energy = -2.875 eV/atom
! ΔE_f (raw) = -20 kJ/mol of atoms
! total magnetization = 0.00 Bohr magnetons per cell

Record 5
! Fe2Te2Br (GGA-PBE, optimized geometry); values from VASP
&SYSTEM
  ibrav = 0, nat = 5, ntyp = 3
/
ATOMIC_SPECIES
Br 79.90 Br.upf
Te 127.60 Te.upf
Fe 55.84 Fe.upf
CELL_PARAMETERS angstrom
3.645 0.000 0.000
0.000 3.645 0.000
1.822 1.822 8.241
ATOMIC_POSITIONS crystal
Br 0.000 0.000 0.000
Te 0.360 0.360 0.280
Te 0.640 0.640 0.720
Fe 0.250 0.750 0.500
Fe 0.750 0.250 0.500
! calculated total energy = -5.066 eV/atom
! ΔE_f (raw) = -9 kJ/mol of atoms
! relative energy among the computed polymorphs = 0 meV/atom
! total magnetization = 2.95 Bohr magnetons per cell

Record 6
! Ce3TmIr3 (GGA-PBE, optimized geometry); values from VASP
&SYSTEM
  ibrav = 0, nat = 14, ntyp = 3
/
ATOMIC_SPECIES
Ce 140.12 Ce.upf
Ir 192.22 Ir.upf
Tm 168.93 Tm.upf
CELL_PARAMETERS angstrom
6.784 1.119 0.392
-2.021 6.572 0.392
-0.269 -0.434 6.988
ATOMIC_POSITIONS crystal
Ce 0.184 0.816 0.500
Ce 0.355 0.355 0.608
Ce 0.749 0.251 0.000
Ce 0.816 0.184 0.500
Ce 0.645 0.645 0.392
Ce 0.251 0.749 0.000
Ir 0.062 0.062 0.790
Ir 0.484 0.026 0.769
Ir 0.938 0.938 0.210
Ir 0.974 0.516 0.231
Ir 0.026 0.484 0.769
Ir 0.516 0.974 0.231
Tm 0.755 0.755 0.885
Tm 0.245 0.245 0.115
! calculated total energy = -7.611 eV/atom
! DFT formation energy = -4.419 eV per formula unit
! total magnetization = 1.53 Bohr magnetons per cell

Record 7
! Pa2CBr2 (GGA-PBE, optimized geometry); values from VASP
&SYSTEM
  ibrav = 0, nat = 5, ntyp = 3
/
ATOMIC_SPECIES
C 12.01 C.upf
Pa 231.04 Pa.upf
Br 79.90 Br.upf
CELL_PARAMETERS angstrom
3.597 0.000 0.665
1.737 3.150 0.665
-0.235 -0.138 11.326
ATOMIC_POSITIONS crystal
C 0.000 0.000 0.000
Pa 0.374 0.374 0.878
Pa 0.626 0.626 0.122
Br 0.230 0.230 0.311
Br 0.770 0.770 0.689
! calculated total energy = -7.313 eV/atom
! ΔE_f (raw) = -97 kJ/mol of atoms
! total magnetization = 0.00 Bohr magnetons per cell

Record 8
! AcTbPr2Er4 (GGA-PBE, optimized geometry); values from VASP
&SYSTEM
  ibrav = 0, nat = 16, ntyp = 4
/
ATOMIC_SPECIES
Ac 227.00 Ac.upf
Tb 158.93 Tb.upf
Er 167.26 Er.upf
Pr 140.91 Pr.upf
CELL_PARAMETERS angstrom
-7.405 -5.933 -1.722
4.764 -4.292 -7.203
4.257 3.710 10.562
ATOMIC_POSITIONS crystal
Ac 0.000 0.500 0.000
Ac 0.000 0.500 0.500
Tb 0.000 0.000 0.000
Tb 0.500 0.500 0.500
Er 0.258 0.242 0.495
Er 0.742 0.233 0.988
Er 0.742 0.758 0.505
Er 0.258 0.242 0.005
Er 0.258 0.767 0.012
Er 0.742 0.758 0.995
Er 0.267 0.758 0.512
Er 0.733 0.242 0.488
Pr 0.000 0.000 0.500
Pr 0.500 0.000 0.500
Pr 0.500 0.500 0.000
Pr 0.500 0.000 0.000
! calculated total energy = -4.143 eV/atom
! DFT formation energy = 3.406 eV per formula unit
! total magnetization = 0.26 Bohr magnetons per cell

Record 9
! Sr2ZnCuAg (GGA-PBE, optimized geometry); values from VASP
&SYSTEM
  ibrav = 0, nat = 5, ntyp = 4
/
ATOMIC_SPECIES
Ag 107.87 Ag.upf
Zn 65.41 Zn.upf
Sr 87.62 Sr.upf
Cu 63.55 Cu.upf
CELL_PARAMETERS angstrom
5.812 0.000 0.000
0.000 5.812 0.000
0.000 0.000 4.623
ATOMIC_POSITIONS crystal
Ag 0.500 0.500 0.500
Zn 0.000 0.000 0.500
Sr 0.500 0.000 0.000
Sr 0.000 0.500 0.000
Cu 0.000 0.000 0.000
! calculated total energy = -2.330 eV/atom
! DFT formation energy = -0.067 eV per formula unit
! total magnetization = 0.00 Bohr magnetons per cell

Record 10
! CaGaRh2 (GGA-PBE, optimized geometry); values from VASP
&SYSTEM
  ibrav = 0, nat = 8, ntyp = 3
/
ATOMIC_SPECIES
Rh 102.91 Rh.upf
Ga 69.72 Ga.upf
Ca 40.08 Ca.upf
CELL_PARAMETERS angstrom
-3.276 -2.513 1.877
2.531 -3.721 -0.566
3.104 -1.919 8.327
ATOMIC_POSITIONS crystal
Rh 0.375 0.243 0.750
Rh 0.993 0.625 0.250
Rh 0.757 0.125 0.250
Rh 0.875 0.007 0.750
Ga 0.750 0.250 0.500
Ga 0.000 0.000 0.000
Ca 0.250 0.750 0.500
Ca 0.500 0.500 0.000
! calculated total energy = -5.069 eV/atom
! DFT formation energy = -0.546 eV per formula unit
! total magnetization = 0.00 Bohr magnetons per cell

Record 11
! Ag3PAu (GGA-PBE, optimized geometry); values from VASP
&SYSTEM
  ibrav = 0, nat = 5, ntyp = 3
/
ATOMIC_SPECIES
Au 196.97 Au.upf
Ag 107.87 Ag.upf
P 30.97 P.upf
CELL_PARAMETERS angstrom
-4.737 -0.878 1.645
1.235 -4.842 0.972
1.397 1.304 4.719
ATOMIC_POSITIONS crystal
Au 0.000 0.000 0.000
Ag 0.000 0.500 0.000
Ag 0.000 0.000 0.500
Ag 0.500 0.000 0.000
P 0.500 0.500 0.500
! calculated total energy = -2.430 eV/atom
! relative energy among the computed polymorphs = 688 meV/atom
! DFT formation energy = 5.091 eV per formula unit
! total magnetization = 0.00 Bohr magnetons per cell

Record 12
! SiSbPtI2 (GGA-PBE, optimized geometry); values from VASP
&SYSTEM
  ibrav = 0, nat = 5, ntyp = 4
/
ATOMIC_SPECIES
I 126.90 I.upf
Si 28.09 Si.upf
Sb 121.76 Sb.upf
Pt 195.08 Pt.upf
CELL_PARAMETERS angstrom
-3.445 2.573 -2.989
2.433 -1.737 -4.299
-3.226 -4.383 -0.055
ATOMIC_POSITIONS crystal
I 0.500 0.000 0.000
I 0.000 0.500 0.000
Si 0.000 0.000 0.000
Sb 0.000 0.000 0.500
Pt 0.500 0.500 0.500
! calculated total energy = -2.750 eV/atom
! ΔE_f (raw) = 95 kJ/mol of atoms
! relative energy among the computed polymorphs = 325 meV/atom
! total magnetization = 0.14 Bohr magnetons per cell

> Which formula does entry 5 have?

Fe2Te2Br